[1]
A plane-wave DFT calculation with GGA-PBE was carried out for an optimized crystal structure of SrHg2Te.

It has space group P4/mmm (No. 123), with a = 4.645 Å, b = 4.645 Å, c = 5.917 Å, α = 90.00°, β = 90.00° and γ = 90.00°. The inequivalent atoms are Sr at (0.000, 0.000, 0.000), Hg at (0.000, 0.500, 0.500) and Te at (0.500, 0.500, 0.000).

The density of states at the Fermi level is 1.532 states/eV/cell.

=====

[2]
A plane-wave DFT calculation with GGA-PBE was carried out for an optimized crystal structure of SrHgTe2.

It has space group R-3m (No. 166, hexagonal axes), with a = 4.4076 Å, b = 4.4076 Å, c = 28.8688 Å, α = 90.00°, β = 90.00° and γ = 120.00°. The inequivalent atoms are Sr at (0.0000, 0.0000, 0.0000), Hg at (0.0000, 0.0000, 0.5000) and Te at (0.0000, 0.0000, 0.1095).

The density of states at the Fermi level is 7.445 states/eV/cell.

=====

[3]
A plane-wave DFT calculation with GGA-PBE was carried out for an optimized crystal structure of SrHgTe2.

It has space group Pm (No. 6), with a = 4.519 Å, b = 4.737 Å, c = 7.415 Å, α = 90.00°, β = 107.46° and γ = 90.00°. The inequivalent atoms are Sr at (0.000, 0.000, 0.000), Hg at (0.423, 0.500, 0.458), Te at (0.340, 0.000, 0.639) and Te at (0.546, 0.500, 0.109).

=====

[4]
A plane-wave DFT calculation with GGA-PBE was carried out for an optimized crystal structure of SrHgTe2.

It has space group C2/m (No. 12), with a = 6.774 Å, b = 8.474 Å, c = 4.344 Å, α = 90.00°, β = 90.46° and γ = 90.00°. The inequivalent atoms are Sr at (0.000, 0.000, 0.000), Hg at (0.000, 0.500, 0.000) and Te at (0.250, 0.250, 0.500).

The density of states at the Fermi level is 5.467 states/eV/cell.

=====

[5]
A plane-wave DFT calculation with GGA-PBE was carried out for an optimized crystal structure of Sr2HgTe.

It has space group R-3m (No. 166, hexagonal axes), with a = 4.6278 Å, b = 4.6278 Å, c = 24.5215 Å, α = 90.00°, β = 90.00° and γ = 120.00°. The inequivalent atoms are Sr at (0.0000, 0.0000, 0.2475), Hg at (0.0000, 0.0000, 0.0000) and Te at (0.0000, 0.0000, 0.5000).

The density of states at the Fermi level is 9.245 states/eV/cell. The value obtained for the relative energy among the computed polymorphs is 23 meV per atom.

=====

[6]
A plane-wave DFT calculation with GGA-PBE was carried out for an optimized crystal structure of SrHgTe2.

It has space group Pmmm (No. 47), with a = 4.906 Å, b = 4.934 Å, c = 5.139 Å, α = 90.00°, β = 90.00° and γ = 90.00°. The inequivalent atoms are Sr at (0.000, 0.000, 0.000), Hg at (0.500, 0.500, 0.000), Te at (0.000, 0.500, 0.500) and Te at (0.500, 0.000, 0.500).

The density of states at the Fermi level is 2.472 states/eV/cell.

=====

Result set for total magnetic moment: 0.0 0.0 0.0 0.0 0.5 0.0 μB per formula unit, one per record in the order listed.
Result set for raw formation energy: -0.7231 -0.1275 -0.8657 -0.7061 -0.9777 -0.6628 eV/atom, one per record in the order listed.
Result set for calculated total energy: -2.08 -2.19 -2.93 -2.77 -2.68 -2.73 eV/atom, one per record in the order listed.